<A>
VASP calculation (PBE) on a relaxed ScCu2Ir2 crystal.

Calculated values
N(E_F) = 1.049 states/eV/atom
Calculated volume = 15.1 Å³/atom
ρ = 12.236 g/cm3

a = 7.1514 Å, b = 7.1514 Å, c = 2.9534 Å
α = 90.00°, β = 90.00°, γ = 90.00°
Closest atoms and distances in Å follow each position.
Element x y z (fractional)
Sc 0.0000 0.0000 0.0000  4 Ir 2.80, 2 Sc 2.95, 8 Cu 3.04
Sc 0.5000 0.5000 0.0000  4 Ir 2.80, 2 Sc 2.95, 8 Cu 3.04
Ir 0.3695 0.8695 0.0000  6 Cu 2.52-2.61, 1 Ir 2.64, 2 Sc 2.80
Ir 0.8695 0.6305 0.0000  6 Cu 2.52-2.61, 1 Ir 2.64, 2 Sc 2.80
Ir 0.6305 0.1305 0.0000  6 Cu 2.52-2.61, 1 Ir 2.64, 2 Sc 2.80
Ir 0.1305 0.3695 0.0000  6 Cu 2.52-2.61, 1 Ir 2.64, 2 Sc 2.80
Cu 0.1680 0.6680 0.5000  6 Ir 2.52-2.61
Cu 0.6680 0.8320 0.5000  6 Ir 2.52-2.61
Cu 0.8320 0.3320 0.5000  6 Ir 2.52-2.61
Cu 0.3320 0.1680 0.5000  6 Ir 2.52-2.61

<B>
VASP calculation (PBE) on a relaxed ScCu2Ir2 crystal.

Calculated values
N(E_F) = 0.934 states/eV/atom
Calculated volume = 16.0 Å³/atom
ρ = 11.517 g/cm3

a = 3.6344 Å, b = 3.6344 Å, c = 6.5953 Å
α = 74.01°, β = 74.01°, γ = 90.00°
Closest atoms and distances in Å follow each position.
Element x y z (fractional)
Sc 0.0000 0.0000 0.0000  8 Ir 2.85
Ir 0.3981 0.3981 0.2037  1 Ir 2.47, 4 Cu 2.56
Ir 0.6019 0.6019 0.7963  1 Ir 2.47, 4 Cu 2.56
Cu 0.7500 0.2500 0.5000  4 Ir 2.56, 4 Cu 2.57
Cu 0.2500 0.7500 0.5000  4 Ir 2.56, 4 Cu 2.57

Most stable = <A>

<A>
VASP calculation (PBE) on a relaxed Sc4CuIr crystal.

Calculated values
N(E_F) = 1.365 states/eV/atom
Calculated volume = 19.1 Å³/atom
ρ = 6.316 g/cm3

a = 5.4509 Å, b = 5.4509 Å, c = 5.4509 Å
α = 60.00°, β = 60.00°, γ = 60.00°
Closest atoms and distances in Å follow each position.
Element x y z (fractional)
Sc 0.8800 0.3733 0.3733  6 Sc 2.69-2.76
Sc 0.3733 0.3733 0.8800  6 Sc 2.69-2.76
Sc 0.3733 0.8800 0.3733  6 Sc 2.69-2.76
Sc 0.3733 0.3733 0.3733  6 Sc 2.69-2.76
Cu 0.7500 0.7500 0.7500  12 Sc 3.20, 4 Ir 3.34
Ir 0.0000 0.0000 0.0000  12 Sc 3.19, 4 Cu 3.34

<B>
VASP calculation (PBE) on a relaxed Sc4CuIr crystal.

Calculated values
N(E_F) = 1.524 states/eV/atom
Calculated volume = 21.9 Å³/atom
ρ = 5.504 g/cm3

a = 4.5472 Å, b = 4.5483 Å, c = 6.3541 Å
α = 89.97°, β = 89.98°, γ = 90.00°
Closest atoms and distances in Å follow each position.
Element x y z (fractional)
Sc 0.5012 0.9971 0.2528  2 Ir 2.76, 2 Cu 2.79
Sc 0.5014 0.9976 0.7434  2 Ir 2.76, 2 Cu 2.79
Sc 0.0014 0.4975 0.7434  2 Ir 2.76, 2 Cu 2.79
Sc 0.0012 0.4972 0.2528  2 Ir 2.76, 2 Cu 2.79
Cu 0.5015 0.4970 0.9984  8 Sc 2.79
Ir 0.0013 0.9974 0.4981  8 Sc 2.76

Most stable = <B>

<A>
VASP calculation (PBE) on a relaxed Sc2Cu2Ir crystal.

Calculated values
N(E_F) = 0.344 states/eV/atom
Calculated volume = 16.1 Å³/atom
ρ = 8.443 g/cm3

a = 4.7370 Å, b = 4.7370 Å, c = 6.5206 Å
α = 50.93°, β = 50.93°, γ = 49.93°
Closest atoms and distances in Å follow each position.
Element x y z (fractional)
Sc 0.7732 0.7732 0.8029  2 Ir 2.64, 6 Cu 2.66-2.93
Sc 0.2268 0.2268 0.1971  2 Ir 2.64, 6 Cu 2.66-2.93
Cu 0.3938 0.3938 0.4195  6 Sc 2.66-2.93, 3 Cu 2.66-2.76, 3 Ir 2.82-2.97
Cu 0.6062 0.6062 0.5805  6 Sc 2.66-2.93, 3 Cu 2.66-2.76, 3 Ir 2.82-2.97
Ir 0.0000 0.0000 0.0000  4 Sc 2.64, 2 Cu 2.82

<B>
VASP calculation (PBE) on a relaxed Sc2Cu2Ir crystal.

Calculated values
N(E_F) = 0.796 states/eV/atom
Calculated volume = 16.2 Å³/atom
ρ = 8.378 g/cm3

a = 6.9211 Å, b = 6.9211 Å, c = 3.3865 Å
α = 90.00°, β = 90.00°, γ = 90.00°
Closest atoms and distances in Å follow each position.
Element x y z (fractional)
Sc 0.1860 0.6860 0.5000  6 Cu 2.55-2.75
Sc 0.6860 0.8140 0.5000  6 Cu 2.55-2.75
Sc 0.8140 0.3140 0.5000  6 Cu 2.55-2.75
Sc 0.3140 0.1860 0.5000  6 Cu 2.55-2.75
Ir 0.0000 0.0000 0.0000  4 Cu 2.76, 8 Sc 3.04
Ir 0.5000 0.5000 0.0000  4 Cu 2.76, 8 Sc 3.04
Cu 0.3804 0.8804 0.0000  1 Cu 2.34, 2 Sc 2.55
Cu 0.8804 0.6196 0.0000  1 Cu 2.34, 2 Sc 2.55
Cu 0.6196 0.1196 0.0000  1 Cu 2.34, 2 Sc 2.55
Cu 0.1196 0.3804 0.0000  1 Cu 2.34, 2 Sc 2.55

Most stable = <A>

<A>
VASP calculation (PBE) on a relaxed CuSi2Ir crystal.

Calculated values
N(E_F) = 0.182 states/eV/atom
Calculated volume = 13.5 Å³/atom
ρ = 9.624 g/cm3

a = 7.9079 Å, b = 7.9079 Å, c = 7.9079 Å
α = 20.65°, β = 20.65°, γ = 20.65°
Closest atoms and distances in Å follow each position.
Element x y z (fractional)
Cu 0.2500 0.2500 0.2500  6 Si 2.53
Ir 0.7500 0.7500 0.7500  6 Si 2.54, 6 Ir 2.83
Si 0.9997 0.9997 0.9997  3 Cu 2.53, 3 Ir 2.54
Si 0.5003 0.5003 0.5003  3 Cu 2.53, 3 Ir 2.54

<B>
VASP calculation (PBE) on a relaxed CuSi2Ir crystal.

Calculated values
N(E_F) = 0.219 states/eV/atom
Calculated volume = 13.2 Å³/atom
ρ = 9.776 g/cm3

a = 4.1204 Å, b = 4.1204 Å, c = 4.4747 Å
α = 122.76°, β = 122.75°, γ = 79.92°
Closest atoms and distances in Å follow each position.
Element x y z (fractional)
Cu 0.7500 0.2500 0.5000  8 Si 2.60, 2 Ir 2.65
Ir 0.2500 0.7500 0.5000  8 Si 2.60, 2 Cu 2.65
Si 0.0000 0.0000 0.0000  4 Ir 2.60, 4 Cu 2.60, 2 Si 2.65
Si 0.5000 0.5000 0.0000  4 Ir 2.60, 4 Cu 2.60, 2 Si 2.65

<C>
VASP calculation (PBE) on a relaxed CuSi2Ir crystal.

Calculated values
N(E_F) = 0.585 states/eV/atom
Calculated volume = 19.3 Å³/atom
ρ = 6.725 g/cm3

a = 5.5549 Å, b = 5.5549 Å, c = 6.3521 Å
α = 64.07°, β = 64.07°, γ = 90.00°
Closest atoms and distances in Å follow each position.
Element x y z (fractional)
Si 0.6316 0.1250 0.2500  2 Ir 2.31, 2 Cu 2.35
Si 0.1184 0.6250 0.2500  2 Ir 2.31, 2 Cu 2.35
Si 0.3750 0.3684 0.7500  2 Ir 2.31, 2 Cu 2.35
Si 0.8750 0.8816 0.7500  2 Ir 2.31, 2 Cu 2.35
Ir 0.0000 0.0000 0.0000  4 Si 2.31
Ir 0.7500 0.2500 0.5000  4 Si 2.31
Cu 0.5000 0.5000 0.0000  4 Si 2.35
Cu 0.2500 0.7500 0.5000  4 Si 2.35

<D>
VASP calculation (PBE) on a relaxed CuSi2Ir crystal.

Calculated values
N(E_F) = 0.209 states/eV/atom
Calculated volume = 13.5 Å³/atom
ρ = 9.576 g/cm3

a = 3.3352 Å, b = 3.3352 Å, c = 4.8626 Å
α = 90.00°, β = 90.00°, γ = 90.00°
Closest atoms and distances in Å follow each position.
Element x y z (fractional)
Cu 0.0000 0.0000 0.4634  6 Si 2.39-2.52
Ir 0.5000 0.5000 0.7841  6 Si 2.42-2.53
Si 0.0000 0.0000 0.9711  2 Cu 2.39-2.47, 4 Ir 2.53
Si 0.5000 0.5000 0.2814  2 Ir 2.42-2.44, 4 Cu 2.52

Most stable = <D>

<A>
VASP calculation (PBE) on a relaxed CuSi2Ir crystal.

Calculated values
N(E_F) = 0.399 states/eV/atom
Calculated volume = 14.1 Å³/atom
ρ = 9.181 g/cm3

a = 2.8539 Å, b = 2.8539 Å, c = 8.2168 Å
α = 90.00°, β = 90.00°, γ = 122.54°
Closest atoms and distances in Å follow each position.
Element x y z (fractional)
Cu 0.5000 0.5000 0.2500  4 Si 2.47, 2 Cu 2.74
Ir 0.5000 0.5000 0.7500  4 Si 2.47, 2 Ir 2.74
Si 0.0000 0.0000 0.9999  2 Ir 2.47, 2 Cu 2.47, 2 Si 2.74
Si 0.0000 0.0000 0.5001  2 Ir 2.47, 2 Cu 2.47, 2 Si 2.74

<B>
VASP calculation (PBE) on a relaxed CuSi2Ir crystal.

Calculated values
N(E_F) = 0.482 states/eV/atom
Calculated volume = 13.6 Å³/atom
ρ = 9.496 g/cm3

a = 4.2569 Å, b = 4.2569 Å, c = 4.2569 Å
α = 60.00°, β = 60.00°, γ = 60.00°
Closest atoms and distances in Å follow each position.
Element x y z (fractional)
Cu 0.5000 0.5000 0.5000  4 Si 2.61, 4 Ir 2.61
Ir 0.2500 0.2500 0.2500  4 Cu 2.61, 4 Si 2.61
Si 0.0000 0.0000 0.0000  4 Ir 2.61, 4 Si 2.61
Si 0.7500 0.7500 0.7500  4 Cu 2.61, 4 Si 2.61

Most stable = <A>

<A>
VASP calculation (PBE) on a relaxed CuSi2Ir crystal.

Calculated values
N(E_F) = 0.473 states/eV/atom
Calculated volume = 14.3 Å³/atom
ρ = 9.086 g/cm3

a = 4.1036 Å, b = 2.9633 Å, c = 4.7290 Å
α = 97.54°, β = 90.00°, γ = 90.00°
Closest atoms and distances in Å follow each position.
Element x y z (fractional)
Cu 0.5000 0.2500 0.2500  4 Si 2.48, 2 Ir 2.62
Ir 0.5000 0.7500 0.7500  4 Si 2.43, 2 Cu 2.62
Si 0.0000 0.9001 0.0232  2 Si 2.43-2.62, 2 Ir 2.43, 2 Cu 2.48
Si 0.0000 0.5999 0.4768  2 Si 2.43-2.62, 2 Ir 2.43, 2 Cu 2.48

<B>
VASP calculation (PBE) on a relaxed CuSi2Ir crystal.

Calculated values
N(E_F) = 0.411 states/eV/atom
Calculated volume = 14.1 Å³/atom
ρ = 9.210 g/cm3

a = 2.7829 Å, b = 2.7829 Å, c = 8.1288 Å
α = 90.00°, β = 90.00°, γ = 116.71°
Closest atoms and distances in Å follow each position.
Element x y z (fractional)
Cu 0.0000 0.0000 0.4895  2 Si 2.41, 2 Ir 2.66
Ir 0.5000 0.5000 0.7634  2 Si 2.37
Si 0.0000 0.0000 0.9937  2 Ir 2.37, 2 Si 2.57
Si 0.5000 0.5000 0.2534  2 Cu 2.41, 2 Si 2.57

<C>
VASP calculation (PBE) on a relaxed CuSi2Ir crystal.

Calculated values
N(E_F) = 0.422 states/eV/atom
Calculated volume = 13.2 Å³/atom
ρ = 9.782 g/cm3

a = 4.2150 Å, b = 4.2150 Å, c = 4.2150 Å
α = 60.00°, β = 60.00°, γ = 60.00°
Closest atoms and distances in Å follow each position.
Element x y z (fractional)
Si 0.2500 0.2500 0.2500  4 Ir 2.58, 4 Cu 2.58
Si 0.7500 0.7500 0.7500  4 Ir 2.58, 4 Cu 2.58
Ir 0.5000 0.5000 0.5000  8 Si 2.58
Cu 0.0000 0.0000 0.0000  8 Si 2.58

<D>
VASP calculation (PBE) on a relaxed CuSi2Ir crystal.

Calculated values
N(E_F) = 0.330 states/eV/atom
Calculated volume = 13.3 Å³/atom
ρ = 9.725 g/cm3

a = 4.3042 Å, b = 4.3042 Å, c = 2.8748 Å
α = 90.00°, β = 90.00°, γ = 89.96°
Closest atoms and distances in Å follow each position.
Element x y z (fractional)
Cu 0.5000 0.0000 0.5000  8 Si 2.59, 2 Cu 2.87
Ir 0.0000 0.5000 0.5000  8 Si 2.59, 2 Ir 2.87
Si 0.0000 0.0000 0.0000  4 Cu 2.59, 4 Ir 2.59, 2 Si 2.87
Si 0.5000 0.5000 0.0000  4 Ir 2.59, 4 Cu 2.59, 2 Si 2.87

Most stable = <C>